First-principles (GGA-PBE) data for crystalline Ba3Re2Sn2 at its relaxed geometry, as listed in OQMD via LeMat-Bulk. Values from VASP.

As for the space group: Immm. The magnetization comes out at 0.35 μB/f.u. The value obtained for the electronic total energy is -0.19911 Ha/atom.

```
&SYSTEM
  ibrav = 0, nat = 7, ntyp = 3
/
ATOMIC_SPECIES
Ba 137.33 Ba.upf
Re 186.21 Re.upf
Sn 118.71 Sn.upf
ATOMIC_POSITIONS crystal
Ba 0.000 0.000 0.000
Ba 0.178 0.678 0.500
Ba 0.822 0.322 0.500
Re 0.442 0.442 0.000
Re 0.558 0.558 0.000
Sn 0.375 0.875 0.500
Sn 0.625 0.125 0.500
CELL_PARAMETERS angstrom
-2.426 2.620 9.536
2.426 -2.620 9.536
2.426 2.620 -9.536
```